Crystalline NaLiNiSn at its relaxed geometry, computed with PBE-GGA.

a = 4.5899 Å, b = 4.5899 Å, c = 4.5899 Å
α = 60.00°, β = 60.00°, γ = 60.00°
With the nearest neighbours (Å) after each atom.
Positions (direct):
Ni (0.7500, 0.7500, 0.7500)  4 Sn 2.81, 4 Na 2.81
Li (0.2500, 0.2500, 0.2500)  4 Na 2.81, 4 Sn 2.81
Sn (0.0000, 0.0000, 0.0000)  4 Li 2.81, 4 Ni 2.81
Na (0.5000, 0.5000, 0.5000)  4 Ni 2.81, 4 Li 2.81

SG ... F-43m
ΔH_f (0 K) ... -0.11 eV/atom

Crystalline VAs2Br at its relaxed geometry, computed with PBE-GGA.

a = 6.0690 Å, b = 6.0690 Å, c = 7.4638 Å
α = 66.01°, β = 66.01°, γ = 90.00°
With the nearest neighbours (Å) after each atom.
Positions (direct):
As (0.5273, 0.1250, 0.2500)  2 V 2.34
As (0.2227, 0.6250, 0.2500)  2 V 2.34
As (0.3750, 0.4727, 0.7500)  2 V 2.34
As (0.8750, 0.7773, 0.7500)  2 V 2.34
Br (0.0000, 0.0000, 0.0000)  4 As 3.01
Br (0.7500, 0.2500, 0.5000)  4 As 3.01
V (0.5000, 0.5000, 0.0000)  4 As 2.34
V (0.2500, 0.7500, 0.5000)  4 As 2.34

ΔE_f (raw) ... 0.31 eV/atom
SG ... I-42d

Crystalline MnCr2Pt at its relaxed geometry, computed with PBE-GGA.

a = 2.6408 Å, b = 3.5923 Å, c = 5.3198 Å
α = 90.00°, β = 90.00°, γ = 90.00°
With the nearest neighbours (Å) after each atom.
Positions (direct):
Cr (0.0000, 0.0000, 0.0351)  1 Cr 2.29, 4 Mn 2.51
Cr (0.0000, 0.0000, 0.4649)  1 Cr 2.29, 4 Mn 2.51
Mn (0.5000, 0.5000, 0.2500)  8 Cr 2.51, 2 Mn 2.64, 2 Pt 2.66
Pt (0.5000, 0.5000, 0.7500)  2 Pt 2.64, 2 Mn 2.66, 8 Cr 2.70

SG ... Pmmm
ΔH_f (0 K) ... -0.05 eV/atom

Crystalline LiPrHgIr at its relaxed geometry, computed with PBE-GGA.

a = 4.8832 Å, b = 4.8832 Å, c = 4.8832 Å
α = 60.00°, β = 60.00°, γ = 60.00°
With the nearest neighbours (Å) after each atom.
Positions (direct):
Pr (0.7500, 0.7500, 0.7500)  4 Li 2.99, 4 Ir 2.99
Ir (0.5000, 0.5000, 0.5000)  4 Pr 2.99, 4 Hg 2.99
Hg (0.2500, 0.2500, 0.2500)  4 Ir 2.99, 4 Li 2.99
Li (0.0000, 0.0000, 0.0000)  4 Hg 2.99, 4 Pr 2.99

SG ... F-43m
ΔH_f (0 K) ... -0.28 eV/atom

Crystalline Ac2BeSn at its relaxed geometry, computed with PBE-GGA.

a = 5.6125 Å, b = 5.6125 Å, c = 5.6125 Å
α = 60.00°, β = 60.00°, γ = 60.00°
With the nearest neighbours (Å) after each atom.
Positions (direct):
Be (0.0000, 0.0000, 0.0000)  8 Ac 3.44
Ac (0.2500, 0.2500, 0.2500)  4 Sn 3.44, 4 Be 3.44
Ac (0.7500, 0.7500, 0.7500)  4 Sn 3.44, 4 Be 3.44
Sn (0.5000, 0.5000, 0.5000)  8 Ac 3.44

SG ... Fm-3m
ΔH_f (0 K) ... -0.08 eV/atom

Crystalline PrDy2Hf at its relaxed geometry, computed with PBE-GGA.

a = 4.9416 Å, b = 4.8761 Å, c = 4.8761 Å
α = 90.00°, β = 90.00°, γ = 90.00°
With the nearest neighbours (Å) after each atom.
Positions (direct):
Pr (0.5000, 0.5000, 0.5000)  4 Hf 3.45, 8 Dy 3.47
Hf (0.5000, 0.0000, 0.0000)  4 Pr 3.45, 8 Dy 3.47
Dy (0.0000, 0.0000, 0.5000)  4 Dy 3.45, 4 Hf 3.47, 4 Pr 3.47
Dy (0.0000, 0.5000, 0.0000)  4 Dy 3.45, 4 Pr 3.47, 4 Hf 3.47

SG ... P4/mmm
ΔH_f (0 K) ... 0.17 eV/atom

Crystalline TcAs2 at its relaxed geometry, computed with PBE-GGA.

a = 4.7099 Å, b = 4.7099 Å, c = 2.6471 Å
α = 90.00°, β = 90.00°, γ = 120.00°
With the nearest neighbours (Å) after each atom.
Positions (direct):
As (0.6667, 0.3333, 0.9999)  5 As 2.65-2.72, 3 Tc 2.72
As (0.3333, 0.6667, 0.0001)  5 As 2.65-2.72, 3 Tc 2.72
Tc (0.0000, 0.0000, 0.0000)  2 Tc 2.65, 6 As 2.72

SG ... P6/mmm
ΔH_f (0 K) ... 0.25 eV/atom

Crystalline Pb2Au2F at its relaxed geometry, computed with PBE-GGA.

a = 7.9461 Å, b = 7.9461 Å, c = 3.7649 Å
α = 90.00°, β = 90.00°, γ = 90.00°
With the nearest neighbours (Å) after each atom.
Positions (direct):
Pb (0.1792, 0.6792, 0.5000)  6 Au 2.89-3.10
Pb (0.6792, 0.8208, 0.5000)  6 Au 2.89-3.10
Pb (0.8208, 0.3208, 0.5000)  6 Au 2.89-3.10
Pb (0.3208, 0.1792, 0.5000)  6 Au 2.89-3.10
Au (0.3745, 0.8745, 0.0000)  1 Au 2.82, 6 Pb 2.89-3.10, 2 F 3.14
Au (0.8745, 0.6255, 0.0000)  1 Au 2.82, 6 Pb 2.89-3.10, 2 F 3.14
Au (0.6255, 0.1255, 0.0000)  1 Au 2.82, 6 Pb 2.89-3.10, 2 F 3.14
Au (0.1255, 0.3745, 0.0000)  1 Au 2.82, 6 Pb 2.89-3.10, 2 F 3.14
F (0.0000, 0.0000, 0.0000)  4 Au 3.14, 8 Pb 3.47
F (0.5000, 0.5000, 0.0000)  4 Au 3.14, 8 Pb 3.47

ΔE_f (raw) ... -0.38 eV/atom
SG ... P4/mbm

Crystalline FeCuRh2 at its relaxed geometry, computed with PBE-GGA.

a = 4.6456 Å, b = 4.6456 Å, c = 4.5290 Å
α = 79.55°, β = 79.55°, γ = 33.85°
With the nearest neighbours (Å) after each atom.
Positions (direct):
Cu (0.4989, 0.4989, 0.4999)  7 Rh 2.62-2.67, 3 Fe 2.65-2.70, 2 Cu 2.70
Fe (0.7506, 0.7506, 0.7513)  7 Rh 2.62-2.66, 3 Cu 2.65-2.70, 2 Fe 2.70
Rh (0.0000, 0.0000, 0.9939)  4 Cu 2.62-2.66, 3 Fe 2.65-2.66, 5 Rh 2.67-2.71
Rh (0.2505, 0.2505, 0.2549)  4 Fe 2.62-2.65, 3 Cu 2.65-2.67, 5 Rh 2.67-2.71

SG ... Cm
ΔH_f (0 K) ... 0.06 eV/atom

Crystalline Fe2CoGeC at its relaxed geometry, computed with PBE-GGA.

a = 3.7531 Å, b = 3.7531 Å, c = 3.7226 Å
α = 90.00°, β = 90.00°, γ = 90.00°
With the nearest neighbours (Å) after each atom.
Positions (direct):
C (0.0000, 0.0000, 0.0000)  2 Co 1.86, 4 Fe 1.88
Ge (0.5000, 0.5000, 0.5000)  8 Fe 2.64, 4 Co 2.65
Co (0.0000, 0.0000, 0.5000)  2 C 1.86
Fe (0.0000, 0.5000, 0.0000)  2 C 1.88
Fe (0.5000, 0.0000, 0.0000)  2 C 1.88

SG ... P4/mmm
ΔH_f (0 K) ... 0.04 eV/atom

Crystalline RbCoOs at its relaxed geometry, computed with PBE-GGA.

a = 3.8862 Å, b = 3.8862 Å, c = 11.7657 Å
α = 90.00°, β = 90.00°, γ = 120.00°
With the nearest neighbours (Å) after each atom.
Positions (direct):
Co (0.3333, 0.6667, 0.2500)  3 Os 2.24
Co (0.6667, 0.3333, 0.7500)  3 Os 2.24
Os (0.3333, 0.6667, 0.7500)  3 Co 2.24
Os (0.6667, 0.3333, 0.2500)  3 Co 2.24
Rb (0.0000, 0.0000, 0.0000)  6 Co 3.70, 6 Os 3.70, 6 Rb 3.89
Rb (0.0000, 0.0000, 0.5000)  6 Co 3.70, 6 Os 3.70, 6 Rb 3.89

SG ... P6_3/mmc
ΔH_f (0 K) ... 1.10 eV/atom

Crystalline TbDyCI at its relaxed geometry, computed with PBE-GGA.

a = 3.7686 Å, b = 3.7686 Å, c = 7.7606 Å
α = 90.00°, β = 104.05°, γ = 120.00°
With the nearest neighbours (Å) after each atom.
Positions (direct):
Tb (0.5214, 0.1586, 0.6953)  3 C 2.55
Dy (0.0823, 0.9391, 0.0367)  3 C 2.49
C (0.3069, 0.5513, 0.8736)  3 Dy 2.49, 3 Tb 2.55
I (0.9673, 0.3817, 0.3640)  3 Dy 3.27, 3 Tb 3.29

ΔE_f (raw) ... -0.74 eV/atom
SG ... R3m

Crystalline Na2YSF at its relaxed geometry, computed with PBE-GGA.

a = 4.7648 Å, b = 7.6361 Å, c = 4.7648 Å
α = 90.00°, β = 90.00°, γ = 90.00°
With the nearest neighbours (Å) after each atom.
Positions (direct):
Y (0.5000, 0.5000, 0.5000)  4 F 3.37
Na (0.0000, 0.0000, 0.5000)  2 S 2.38
Na (0.5000, 0.0000, 0.0000)  2 S 2.38
S (0.0000, 0.0000, 0.0000)  4 Na 2.38
F (0.0000, 0.5000, 0.0000)  4 Y 3.37

ΔE_f (raw) ... -0.38 eV/atom
SG ... P4/mmm

Crystalline ScCuAg2 at its relaxed geometry, computed with PBE-GGA.

a = 3.3618 Å, b = 3.3595 Å, c = 6.2386 Å
α = 90.00°, β = 90.00°, γ = 90.00°
With the nearest neighbours (Å) after each atom.
Positions (direct):
Ag (0.0000, 0.0000, 0.0239)  4 Cu 2.76, 1 Ag 2.82, 4 Sc 2.93
Ag (0.0000, 0.0000, 0.4761)  4 Cu 2.76, 1 Ag 2.82, 4 Sc 2.93
Cu (0.5000, 0.5000, 0.2500)  8 Ag 2.76
Sc (0.5000, 0.5000, 0.7500)  8 Ag 2.93, 2 Cu 3.12

SG ... P4/mmm
ΔH_f (0 K) ... -0.09 eV/atom

Crystalline Sr2Zn3SbPt4 at its relaxed geometry, computed with PBE-GGA.

a = 4.4256 Å, b = 4.4256 Å, c = 10.6734 Å
α = 90.00°, β = 90.00°, γ = 90.00°
With the nearest neighbours (Å) after each atom.
Positions (direct):
Sr (0.5000, 0.0000, 0.2347)  6 Zn 3.34-3.59, 8 Pt 3.34-3.42, 2 Sb 3.59
Sr (0.0000, 0.5000, 0.7653)  6 Zn 3.34-3.59, 8 Pt 3.34-3.42, 2 Sb 3.59
Zn (0.0000, 0.0000, 0.5000)  4 Pt 2.64
Zn (0.5000, 0.0000, 0.8735)  5 Pt 2.54-2.59
Zn (0.0000, 0.5000, 0.1265)  5 Pt 2.54-2.59
Sb (0.5000, 0.5000, 0.5000)  4 Pt 2.64
Pt (0.5000, 0.5000, 0.0000)  4 Zn 2.59
Pt (0.0000, 0.0000, 0.0000)  4 Zn 2.59
Pt (0.5000, 0.0000, 0.6351)  3 Zn 2.54-2.64, 2 Sb 2.64
Pt (0.0000, 0.5000, 0.3649)  3 Zn 2.54-2.64, 2 Sb 2.64

ΔE_f (raw) ... -0.70 eV/atom
SG ... P-4m2

Crystalline K2GdCl4 at its relaxed geometry, computed with PBE-GGA.

a = 5.4521 Å, b = 5.4521 Å, c = 9.0259 Å
α = 72.42°, β = 72.42°, γ = 90.00°
With the nearest neighbours (Å) after each atom.
Positions (direct):
K (0.6435, 0.6435, 0.7130)  1 Cl 3.08
K (0.3565, 0.3565, 0.2870)  1 Cl 3.08
Gd (0.0000, 0.0000, 0.0000)  6 Cl 2.73-2.74
Cl (0.8320, 0.8320, 0.3359)  1 Gd 2.74
Cl (0.1680, 0.1680, 0.6641)  1 Gd 2.74
Cl (0.0000, 0.5000, 0.0000)  2 Gd 2.73
Cl (0.5000, 0.0000, 0.0000)  2 Gd 2.73

ΔE_f (raw) ... -1.89 eV/atom
SG ... I4/mmm

Crystalline La2Ge2Bi at its relaxed geometry, computed with PBE-GGA.

a = 8.7231 Å, b = 8.7231 Å, c = 3.7467 Å
α = 90.00°, β = 90.00°, γ = 90.00°
With the nearest neighbours (Å) after each atom.
Positions (direct):
Ge (0.1685, 0.6685, 0.5000)  6 La 3.04-3.27
Ge (0.6685, 0.8315, 0.5000)  6 La 3.04-3.27
Ge (0.8315, 0.3315, 0.5000)  6 La 3.04-3.27
Ge (0.3315, 0.1685, 0.5000)  6 La 3.04-3.27
Bi (0.0000, 0.0000, 0.0000)  4 La 3.38, 8 Ge 3.75, 2 Bi 3.75
Bi (0.5000, 0.5000, 0.0000)  4 La 3.38, 8 Ge 3.75, 2 Bi 3.75
La (0.3624, 0.8624, 0.0000)  6 Ge 3.04-3.27, 2 Bi 3.38, 1 La 3.39
La (0.8624, 0.6376, 0.0000)  6 Ge 3.04-3.27, 2 Bi 3.38, 1 La 3.39
La (0.6376, 0.1376, 0.0000)  6 Ge 3.04-3.27, 2 Bi 3.38, 1 La 3.39
La (0.1376, 0.3624, 0.0000)  6 Ge 3.04-3.27, 2 Bi 3.38, 1 La 3.39

SG ... P4/mbm
ΔH_f (0 K) ... -0.44 eV/atom

Crystalline Nb2ReCl4 at its relaxed geometry, computed with PBE-GGA.

a = 4.9461 Å, b = 4.9461 Å, c = 7.2391 Å
α = 70.02°, β = 70.02°, γ = 90.00°
With the nearest neighbours (Å) after each atom.
Positions (direct):
Re (0.0000, 0.0000, 0.0000)  6 Cl 2.47-2.48
Nb (0.5886, 0.5886, 0.8229)  1 Nb 2.25
Nb (0.4114, 0.4114, 0.1771)  1 Nb 2.25
Cl (0.8040, 0.8040, 0.3919)  1 Re 2.48, 1 Nb 2.73
Cl (0.1960, 0.1960, 0.6081)  1 Re 2.48, 1 Nb 2.73
Cl (0.0000, 0.5000, 0.0000)  2 Re 2.47, 4 Nb 2.72
Cl (0.5000, 0.0000, 0.0000)  2 Re 2.47, 4 Nb 2.72

ΔE_f (raw) ... 0.60 eV/atom
SG ... I4/mmm

Crystalline Ho8AsS6 at its relaxed geometry, computed with PBE-GGA.

a = 3.9455 Å, b = 9.9682 Å, c = 9.9682 Å
α = 120.00°, β = 90.00°, γ = 90.00°
With the nearest neighbours (Å) after each atom.
Positions (direct):
Ho (0.7424, 0.9674, 0.2935)  4 S 2.64-2.88
Ho (0.7424, 0.7065, 0.6739)  4 S 2.64-2.88
Ho (0.7424, 0.3261, 0.0326)  4 S 2.64-2.88
Ho (0.2576, 0.0326, 0.7065)  4 S 2.64-2.88
Ho (0.2576, 0.2935, 0.3261)  4 S 2.64-2.88
Ho (0.2576, 0.6739, 0.9674)  4 S 2.64-2.88
Ho (0.7471, 0.3333, 0.6667)  6 S 2.75-2.76
Ho (0.2529, 0.6667, 0.3333)  6 S 2.75-2.76
As (0.5000, 0.0000, 0.0000)  6 Ho 3.25
S (0.7531, 0.6522, 0.1336)  6 Ho 2.64-2.88
S (0.7531, 0.8664, 0.5186)  6 Ho 2.64-2.88
S (0.7531, 0.4814, 0.3478)  6 Ho 2.64-2.88
S (0.2469, 0.3478, 0.8664)  6 Ho 2.64-2.88
S (0.2469, 0.1336, 0.4814)  6 Ho 2.64-2.88
S (0.2469, 0.5186, 0.6522)  6 Ho 2.64-2.88

ΔE_f (raw) ... -1.52 eV/atom
SG ... P-3

Crystalline LaCd3Mo at its relaxed geometry, computed with PBE-GGA.

a = 5.2245 Å, b = 5.2245 Å, c = 5.2245 Å
α = 90.00°, β = 90.00°, γ = 90.00°
With the nearest neighbours (Å) after each atom.
Positions (direct):
Mo (0.0000, 0.0000, 0.0000)  6 Cd 2.61
Cd (0.0000, 0.5000, 0.0000)  2 Mo 2.61
Cd (0.0000, 0.0000, 0.5000)  2 Mo 2.61
Cd (0.5000, 0.0000, 0.0000)  2 Mo 2.61
La (0.5000, 0.5000, 0.5000)  12 Cd 3.69

SG ... Pm-3m
ΔH_f (0 K) ... 0.50 eV/atom